1.
First-principles (PBE) data for an optimized crystal structure of Ac3Tl2In4, as listed in Alexandria.

Cell: 4.8302 8.2709 8.2709 Å, 120.00 90.00 90.00°
Closest atoms and distances in Å follow each position.
Atoms (fractional coordinates):
Ac: 0.5000 0.0000 0.4043  1 In 3.34, 4 Tl 3.49
Ac: 0.5000 0.4043 0.0000  1 In 3.34, 4 Tl 3.49
Ac: 0.5000 0.5957 0.5957  1 In 3.34, 4 Tl 3.49
Tl: 0.0000 0.6667 0.3333  3 In 3.19, 6 Ac 3.49
Tl: 0.0000 0.3333 0.6667  3 In 3.19, 6 Ac 3.49
In: 0.5000 0.0000 0.0000  6 In 3.15, 3 Ac 3.34
In: 0.0000 0.2451 0.2451  4 In 3.15-3.51, 2 Tl 3.19
In: 0.0000 0.7549 0.0000  4 In 3.15-3.51, 2 Tl 3.19
In: 0.0000 0.0000 0.7549  4 In 3.15-3.51, 2 Tl 3.19

Computed properties:
Density in Mg/m³: 8.989
E above lowest polymorph in eV/atom: 0.016
VASP energy in eV per atom: -3.49
Energy of formation in eV per atom: -0.38
Crystal system: hexagonal
Fermi-level density of states in states/eV/atom: 0.676

2.
First-principles (PBE) data for an optimized crystal structure of Ac5Tl8In, as listed in Alexandria.

Cell: 8.5975 8.5975 8.5975 Å, 108.50 111.43 108.50°
Closest atoms and distances in Å follow each position.
Atoms (fractional coordinates):
Ac: 0.9744 0.3567 0.1093  8 Tl 3.44-3.59
Ac: 0.8907 0.8650 0.2473  8 Tl 3.44-3.59
Ac: 0.7527 0.6433 0.6177  8 Tl 3.44-3.59
Ac: 0.5000 0.0000 0.5000  8 Tl 3.48
Ac: 0.3823 0.1350 0.0256  8 Tl 3.44-3.59
Tl: 0.1313 0.7279 0.0217  1 In 3.23, 1 Tl 3.30, 5 Ac 3.44-3.53
Tl: 0.9783 0.1097 0.7062  1 In 3.23, 1 Tl 3.30, 5 Ac 3.44-3.53
Tl: 0.8197 0.2627 0.4073  1 In 3.16, 1 Tl 3.30, 3 Ac 3.48-3.49
Tl: 0.5927 0.4124 0.8554  1 In 3.16, 1 Tl 3.30, 3 Ac 3.48-3.49
Tl: 0.4430 0.5876 0.1803  1 In 3.16, 1 Tl 3.30, 3 Ac 3.48-3.49
Tl: 0.5966 0.8903 0.8687  1 In 3.23, 1 Tl 3.30, 5 Ac 3.44-3.53
Tl: 0.2938 0.2721 0.4034  1 In 3.23, 1 Tl 3.30, 5 Ac 3.44-3.53
Tl: 0.1446 0.7373 0.5570  1 In 3.16, 1 Tl 3.30, 3 Ac 3.48-3.49
In: 0.2500 0.5000 0.7500  8 Tl 3.16-3.23

Computed properties:
Density in Mg/m³: 9.801
VASP energy in eV per atom: -3.24
Energy of formation in eV per atom: -0.23
Crystal system: tetragonal
Fermi-level density of states in states/eV/atom: 0.790

3.
First-principles (PBE) data for an optimized crystal structure of Ac6TlIn, as listed in Alexandria.

Cell: 7.7363 7.7363 7.7591 Å, 103.31 103.31 120.14°
Closest atoms and distances in Å follow each position.
Atoms (fractional coordinates):
Ac: 0.2479 0.2479 0.7495  1 In 3.30, 1 Tl 3.32
Ac: 0.4446 0.0422 0.2503  1 In 3.35, 1 Tl 3.38
Ac: 0.7521 0.7521 0.2505  1 In 3.30, 1 Tl 3.32
Ac: 0.9578 0.5554 0.7497  1 In 3.35, 1 Tl 3.38
Ac: 0.5554 0.9578 0.7497  1 In 3.35, 1 Tl 3.38
Ac: 0.0422 0.4446 0.2503  1 In 3.35, 1 Tl 3.38
Tl: 0.5000 0.5000 0.5000  6 Ac 3.32-3.38
In: 0.0000 0.0000 0.0000  6 Ac 3.30-3.35

Computed properties:
Density in Mg/m³: 7.836
E above lowest polymorph in eV/atom: 0.242
VASP energy in eV per atom: -3.65
Energy of formation in eV per atom: 0.07
Crystal system: monoclinic
Fermi-level density of states in states/eV/atom: 1.781